Below is crystalline LiCe2USe6 at its relaxed geometry, with properties calculated at the GGA-PBE level.

E_form (uncorrected): -1.17 eV/atom
electronic total energy: -5.77 eV per atom

Unit cell a=6.7670 b=6.6549 c=6.6549 alpha=90.00 beta=90.00 gamma=90.00
Last column: magnetic moment on the atom in μB.
Atoms (fractional coordinates):
Li  0.5348  0.0000  0.0000  0.00
Ce  0.0051  0.5000  0.0000  0.82
Ce  0.0051  0.0000  0.5000  0.82
U  0.5872  0.5000  0.5000  1.64
Se  0.7428  0.2393  0.2393  -0.07
Se  0.7428  0.2393  0.7607  -0.07
Se  0.1743  0.5000  0.5000  -0.04
Se  0.1690  0.0000  0.0000  -0.05
Se  0.7428  0.7607  0.7607  -0.07
Se  0.7428  0.7607  0.2393  -0.07